# 1
A relaxed structure of MgTlCdGe, computed with PBE.

Calculated values
As for the space group: No. 216.

```
MgTlCdGe
1.0
-0.374 -0.829 -5.012
2.347 -4.002 -2.102
-2.733 -3.933 -1.734
Tl Cd Ge Mg
1 1 1 1
Cartesian
-0.380 -4.382 -4.423
-0.190 -2.191 -2.212
0.000 0.000 0.000
-0.570 -6.574 -6.635
```

# 2
A relaxed structure of MgCdGe2W, computed with PBE.

Calculated values
The calculation puts the energy above the most stable polymorph in this dataset at 0 meV per atom. As for the space group: No. 123.

```
MgCdGe2W
1.0
-4.081 1.994 -1.721
-2.285 -4.516 0.186
-1.461 0.926 4.539
Mg W Cd Ge
1 1 1 2
Cartesian
0.000 0.000 0.000
-1.143 -2.258 0.093
-3.914 -0.798 1.502
-0.731 0.463 2.269
-2.040 0.997 -0.860
```

# 3
A relaxed structure of MgZnCdGe, computed with PBE.

Calculated values
As for the space group: No. 216.

```
MgZnCdGe
1.0
-1.834 -0.637 -4.408
0.501 -4.242 -2.227
-3.827 -2.857 -0.627
Ge Cd Mg Zn
1 1 1 1
Cartesian
-1.290 -1.934 -1.816
-2.580 -3.868 -3.631
0.000 0.000 0.000
-3.870 -5.802 -5.447
```

# 4
A relaxed structure of MnCd2Ge, computed with PBE.

Calculated values
As for the space group: No. 122.

```
MnCd2Ge
1.0
8.836 0.000 0.000
0.000 8.836 0.000
4.418 4.418 2.436
Mn Cd Ge
2 4 2
Cartesian
4.418 8.836 1.218
4.418 4.418 0.000
11.045 10.329 1.827
6.627 7.344 1.827
2.926 6.627 0.609
5.911 2.209 0.609
0.000 0.000 0.000
8.836 4.418 1.218
```

# 5
A relaxed structure of MnCd3Ge, computed with PBE.

Calculated values
As for the space group: No. 221.

```
MnCd3Ge
1.0
5.199 0.000 0.000
0.000 5.199 0.000
0.000 0.000 5.199
Cd Ge Mn
3 1 1
Cartesian
2.600 0.000 0.000
0.000 0.000 2.600
0.000 2.600 0.000
0.000 0.000 0.000
2.600 2.600 2.600
```

# 6
A relaxed structure of MnCdGe, computed with PBE.

Calculated values
As for the space group: No. 12.

```
MnCdGe
1.0
4.236 1.150 0.099
1.129 4.241 0.099
-2.308 -2.320 6.836
Ge Mn Cd
2 2 2
Cartesian
1.470 1.477 5.807
1.587 1.595 1.226
3.356 3.373 1.406
-0.300 -0.301 5.627
-0.243 -0.244 2.664
3.299 3.315 4.369
```

Number 1: formation energy 0.092 eV per atom. Number 2: formation energy 1.463 eV per atom. Number 3: formation energy 0.054 eV per atom. Number 4: formation energy 0.458 eV per atom. Number 5: formation energy 0.736 eV per atom. Number 6: formation energy 0.171 eV per atom.